First-principles (PBE) data for CaZrAgPd2 after structural relaxation, as listed in the Alexandria database.

Cell lengths 4.9066, 4.9066, 5.6921 Å; angles 90.00, 90.00, 90.00 degrees
Last column: nearest neighbours and their distance in Å.
Fractional positions:
Ca 0.0000 0.0000 0.0000  2 Zr 2.85
Zr 0.0000 0.0000 0.5000  4 Pd 2.45
Ag 0.5000 0.5000 0.0000  4 Ca 3.47, 8 Pd 3.76
Pd 0.0000 0.5000 0.5000  2 Zr 2.45
Pd 0.5000 0.0000 0.5000  2 Zr 2.45

Summary:
ρ	5.48	Mg/m³
formation enthalpy at 0 K	684	meV/atom

=====

First-principles (PBE) data for CaPmAg after structural relaxation, as listed in the Alexandria database.

Cell lengths 7.2857, 7.2857, 9.0349 Å; angles 114.64, 114.64, 87.93 degrees
Last column: nearest neighbours and their distance in Å.
Fractional positions:
Ca 0.0024 0.7523 0.5046  4 Ag 3.15-3.27
Ca 0.2477 0.9976 0.9954  4 Ag 3.15-3.27
Ca 0.7523 0.0024 0.0046  4 Ag 3.15-3.27
Ca 0.9976 0.2477 0.4954  4 Ag 3.15-3.27
Pm 0.2503 0.5003 0.0008  4 Ag 3.12-3.13
Pm 0.5003 0.2503 0.5008  4 Ag 3.12-3.13
Pm 0.4997 0.7497 0.4992  4 Ag 3.12-3.13
Pm 0.7497 0.4997 0.9992  4 Ag 3.12-3.13
Ag 0.1341 0.3842 0.2500  4 Pm 3.12-3.13, 4 Ca 3.15-3.27
Ag 0.3842 0.1341 0.7500  4 Pm 3.12-3.13, 4 Ca 3.15-3.27
Ag 0.6158 0.8659 0.2500  4 Pm 3.12-3.13, 4 Ca 3.15-3.27
Ag 0.8659 0.6158 0.7500  4 Pm 3.12-3.13, 4 Ca 3.15-3.27

Summary:
excess energy over the best structure of this formula in the dataset	154	meV per atom
ρ	4.98	Mg/m³
formation enthalpy at 0 K	-27	meV/atom

=====

First-principles (PBE) data for CaPm2Ag4 after structural relaxation, as listed in the Alexandria database.

Cell lengths 8.8927, 8.8927, 8.8927 Å; angles 33.47, 33.47, 33.47 degrees
Last column: nearest neighbours and their distance in Å.
Fractional positions:
Ca 0.0000 0.0000 0.0000  8 Ag 3.09-3.12
Pm 0.2444 0.2444 0.2444  8 Ag 3.06-3.25
Pm 0.7556 0.7556 0.7556  8 Ag 3.06-3.25
Ag 0.1227 0.1227 0.1227  4 Pm 3.06-3.08, 1 Ca 3.09
Ag 0.3735 0.3735 0.3735  3 Ca 3.12, 4 Pm 3.20-3.25
Ag 0.6265 0.6265 0.6265  3 Ca 3.12, 4 Pm 3.20-3.25
Ag 0.8773 0.8773 0.8773  4 Pm 3.06-3.08, 1 Ca 3.09

Summary:
ρ	6.64	Mg/m³
formation enthalpy at 0 K	-80	meV/atom

=====

First-principles (PBE) data for CaPm4Ag5 after structural relaxation, as listed in the Alexandria database.

Cell lengths 3.7019, 3.7019, 18.9113 Å; angles 90.00, 90.00, 90.00 degrees
Last column: nearest neighbours and their distance in Å.
Fractional positions:
Ca 0.0000 0.0000 0.0000  8 Ag 3.26
Pm 0.0000 0.0000 0.1989  8 Ag 3.18-3.23
Pm 0.0000 0.0000 0.4000  8 Ag 3.23-3.24
Pm 0.0000 0.0000 0.6000  8 Ag 3.23-3.24
Pm 0.0000 0.0000 0.8011  8 Ag 3.18-3.23
Ag 0.5000 0.5000 0.1031  4 Pm 3.18, 4 Ca 3.26
Ag 0.5000 0.5000 0.2994  8 Pm 3.23-3.24
Ag 0.5000 0.5000 0.5000  8 Pm 3.23
Ag 0.5000 0.5000 0.7006  8 Pm 3.23-3.24
Ag 0.5000 0.5000 0.8969  4 Pm 3.18, 4 Ca 3.26

Summary:
ρ	7.43	Mg/m³
formation enthalpy at 0 K	-280	meV/atom

=====

First-principles (PBE) data for CaPmAg after structural relaxation, as listed in the Alexandria database.

Cell lengths 7.0935, 7.0935, 7.0935 Å; angles 149.75, 149.75, 43.31 degrees
Last column: nearest neighbours and their distance in Å.
Fractional positions:
Ca 0.0000 0.0000 0.0000  4 Ag 3.23
Pm 0.2792 0.2792 0.0000  4 Ag 3.17
Ag 0.6432 0.6432 0.0000  4 Pm 3.17, 4 Ca 3.23

Summary:
excess energy over the best structure of this formula in the dataset	36	meV per atom
ρ	5.38	Mg/m³
formation enthalpy at 0 K	-145	meV/atom

=====

First-principles (PBE) data for Ca2PmAg3 after structural relaxation, as listed in the Alexandria database.

Cell lengths 8.3209, 8.3209, 3.7034 Å; angles 90.00, 90.00, 143.14 degrees
Last column: nearest neighbours and their distance in Å.
Fractional positions:
Ca 0.1675 0.8325 0.0000  8 Ag 3.22-3.26
Ca 0.8325 0.1675 0.0000  8 Ag 3.22-3.26
Pm 0.5000 0.5000 0.0000  8 Ag 3.17-3.22
Ag 0.0000 0.0000 0.5000  4 Pm 3.22, 4 Ca 3.23
Ag 0.3373 0.6627 0.5000  2 Pm 3.17, 6 Ca 3.22-3.26
Ag 0.6627 0.3373 0.5000  2 Pm 3.17, 6 Ca 3.22-3.26

Summary:
ρ	5.92	Mg/m³
formation enthalpy at 0 K	-301	meV/atom

=====

First-principles (PBE) data for CaPmAg6 after structural relaxation, as listed in the Alexandria database.

Cell lengths 5.5483, 5.5483, 5.5483 Å; angles 90.00, 90.00, 90.00 degrees
Last column: nearest neighbours and their distance in Å.
Fractional positions:
Ca 0.0000 0.0000 0.0000  12 Ag 3.10
Pm 0.5000 0.5000 0.5000  12 Ag 3.10
Ag 0.0000 0.2492 0.5000  2 Ag 2.76-2.78
Ag 0.0000 0.7508 0.5000  2 Ag 2.76-2.78
Ag 0.2492 0.5000 0.0000  2 Ag 2.76-2.78
Ag 0.5000 0.0000 0.2492  2 Ag 2.76-2.78
Ag 0.5000 0.0000 0.7508  2 Ag 2.76-2.78
Ag 0.7508 0.5000 0.0000  2 Ag 2.76-2.78

Summary:
ρ	8.09	Mg/m³
formation enthalpy at 0 K	-179	meV/atom

=====

First-principles (PBE) data for CaPmAg after structural relaxation, as listed in the Alexandria database.

Cell lengths 5.1529, 5.1529, 5.1529 Å; angles 60.00, 60.00, 60.00 degrees
Last column: nearest neighbours and their distance in Å.
Fractional positions:
Ca 0.0000 0.0000 0.0000  4 Ag 3.16
Pm 0.5000 0.5000 0.5000  4 Ag 3.16
Ag 0.7500 0.7500 0.7500  4 Pm 3.16, 4 Ca 3.16

Summary:
excess energy over the best structure of this formula in the dataset	170	meV per atom
ρ	5.03	Mg/m³
formation enthalpy at 0 K	-11	meV/atom

=====

First-principles (PBE) data for Ca2PmAg9 after structural relaxation, as listed in the Alexandria database.

Cell lengths 9.9169, 9.9169, 9.9169 Å; angles 33.34, 33.34, 33.34 degrees
Last column: nearest neighbours and their distance in Å.
Fractional positions:
Ca 0.1414 0.1414 0.1414  12 Ag 3.27-3.45, 3 Ca 3.58
Ca 0.8586 0.8586 0.8586  12 Ag 3.27-3.45, 3 Ca 3.58
Pm 0.0000 0.0000 0.0000  6 Ag 3.28
Ag 0.0817 0.5847 0.5847  7 Ag 2.83-2.88
Ag 0.3330 0.3330 0.3330  6 Ag 2.85-2.88
Ag 0.4153 0.4153 0.9183  7 Ag 2.83-2.88
Ag 0.4153 0.9183 0.4153  7 Ag 2.83-2.88
Ag 0.5000 0.5000 0.5000  6 Ag 2.86
Ag 0.5847 0.0817 0.5847  7 Ag 2.83-2.88
Ag 0.5847 0.5847 0.0817  7 Ag 2.83-2.88
Ag 0.6670 0.6670 0.6670  6 Ag 2.85-2.88
Ag 0.9183 0.4153 0.4153  7 Ag 2.83-2.88

Summary:
ρ	7.57	Mg/m³
formation enthalpy at 0 K	-192	meV/atom

=====

First-principles (PBE) data for CaPm3Ag4 after structural relaxation, as listed in the Alexandria database.

Cell lengths 5.2723, 5.2723, 7.4158 Å; angles 90.00, 90.00, 90.00 degrees
Last column: nearest neighbours and their distance in Å.
Fractional positions:
Ca 0.0000 0.0000 0.0000  8 Ag 3.23
Pm 0.0000 0.0000 0.5000  8 Ag 3.21
Pm 0.5000 0.5000 0.0000  8 Ag 3.23
Pm 0.5000 0.5000 0.5000  8 Ag 3.21
Ag 0.0000 0.5000 0.2525  6 Pm 3.21-3.23, 2 Ca 3.23
Ag 0.0000 0.5000 0.7475  6 Pm 3.21-3.23, 2 Ca 3.23
Ag 0.5000 0.0000 0.2525  6 Pm 3.21-3.23, 2 Ca 3.23
Ag 0.5000 0.0000 0.7475  6 Pm 3.21-3.23, 2 Ca 3.23

Summary:
ρ	7.30	Mg/m³
formation enthalpy at 0 K	-287	meV/atom

=====

First-principles (PBE) data for Ca2PmAg6 after structural relaxation, as listed in the Alexandria database.

Cell lengths 8.5456, 8.5456, 8.5456 Å; angles 155.54, 123.54, 62.43 degrees
Last column: nearest neighbours and their distance in Å.
Fractional positions:
Ca 0.1410 0.1410 0.0000  10 Ag 3.04-3.21
Ca 0.8590 0.8590 0.0000  10 Ag 3.04-3.21
Pm 0.5000 0.0000 0.5000  12 Ag 3.17-3.45
Ag 0.1463 0.3245 0.8217  4 Ag 2.81-3.06, 1 Ca 3.04
Ag 0.1786 0.5000 0.6786  3 Ag 2.81-2.89, 4 Ca 3.10
Ag 0.4972 0.6755 0.8217  4 Ag 2.81-3.06, 1 Ca 3.04
Ag 0.5028 0.3245 0.1783  4 Ag 2.81-3.06, 1 Ca 3.04
Ag 0.8214 0.5000 0.3214  3 Ag 2.81-2.89, 4 Ca 3.10
Ag 0.8537 0.6755 0.1783  4 Ag 2.81-3.06, 1 Ca 3.04

Summary:
excess energy over the best structure of this formula in the dataset	58	meV per atom
ρ	6.77	Mg/m³
formation enthalpy at 0 K	-202	meV/atom

=====

First-principles (PBE) data for CaPm2Ag after structural relaxation, as listed in the Alexandria database.

Cell lengths 3.7497, 3.7497, 9.1877 Å; angles 90.00, 90.00, 90.00 degrees
Last column: nearest neighbours and their distance in Å.
Fractional positions:
Ca 0.0000 0.0000 0.0000  4 Ca 3.75, 8 Pm 3.86
Pm 0.5000 0.5000 0.3051  4 Ag 3.20, 1 Pm 3.58
Pm 0.5000 0.5000 0.6949  4 Ag 3.20, 1 Pm 3.58
Ag 0.0000 0.0000 0.5000  8 Pm 3.20

Summary:
excess energy over the best structure of this formula in the dataset	0	meV per atom
ρ	5.63	Mg/m³
formation enthalpy at 0 K	-50	meV/atom